Record 1
The following is a PBE calculation of ZnFeReSi after structural relaxation, from OQMD via LeMat-Bulk.

abc: 4.1426 4.1426 4.1426
angles: 60.00 60.00 60.00
Closest atoms and distances in Å follow each position.
Atoms (fractional coordinates):
Zn: 0.0000 0.0000 0.0000  4 Fe 2.54, 4 Re 2.54
Fe: 0.7500 0.7500 0.7500  4 Si 2.54, 4 Zn 2.54
Re: 0.2500 0.2500 0.2500  4 Si 2.54, 4 Zn 2.54
Si: 0.5000 0.5000 0.5000  4 Fe 2.54, 4 Re 2.54

Computed properties:
Magnetization in μB per formula unit: 1.8
Energy relative to the lowest polymorph listed for this composition in eV/f.u.: 0.000
Space-group type: No. 216



Record 2
The following is a PBE calculation of SmFeRe after structural relaxation, from OQMD via LeMat-Bulk.

abc: 4.3569 4.3569 4.3569
angles: 60.00 60.00 60.00
Closest atoms and distances in Å follow each position.
Atoms (fractional coordinates):
Sm: 0.0000 0.0000 0.0000  4 Fe 2.67
Fe: 0.7500 0.7500 0.7500  4 Re 2.67, 4 Sm 2.67
Re: 0.5000 0.5000 0.5000  4 Fe 2.67

Computed properties:
Magnetization in μB per formula unit: 0.9
Energy relative to the lowest polymorph listed for this composition in eV/f.u.: 0.000
Energy relative to the elements in eV/atom: 0.762
Space-group type: No. 216



Record 3
The following is a PBE calculation of SmFeRe after structural relaxation, from OQMD via LeMat-Bulk.

abc: 4.4536 4.4536 4.4536
angles: 60.00 60.00 60.00
Closest atoms and distances in Å follow each position.
Atoms (fractional coordinates):
Sm: 0.0000 0.0000 0.0000  4 Fe 2.73, 4 Re 2.73
Fe: 0.7500 0.7500 0.7500  4 Sm 2.73
Re: 0.2500 0.2500 0.2500  4 Sm 2.73

Computed properties:
Magnetization in μB per formula unit: 4.1
Energy relative to the lowest polymorph listed for this composition in eV/f.u.: 2.984
Energy relative to the elements in eV/atom: 1.756
Space-group type: No. 216